Compound: RbPaVO5
Source: Alexandria via LeMat-Bulk
Functional: GGA+U
Structure: optimized geometry

Cell lengths 7.7586, 10.1472, 8.1310 Å; angles 90.00, 117.02, 90.00 degrees
With the nearest neighbours (Å) after each atom.
Space group C2/c (No. 15)
Asymmetric unit:
Rb: 0.0000 0.1670 0.2500 [4 per cell]  5 O 2.74-2.95
Pa: 0.0000 0.5000 0.0000 [4 per cell]  6 O 2.13-2.23
V: 0.0000 0.1891 0.7500 [4 per cell]  4 O 1.83-1.84
O: 0.0000 0.4369 0.2500 [4 per cell]  2 Pa 2.13
O: 0.0796 0.2991 0.6174 [8 per cell]  1 V 1.84
O: 0.1976 0.0757 0.8830 [8 per cell]  1 V 1.83

Values from the calculation:
Size of the total moment   4.0 μB/cell
Raw total energy   -8.0114 eV/atom